[1]
The following is a PBE calculation of Ac3Ge2 after structural relaxation, from Alexandria.

It has space group R-3c (No. 167, hexagonal axes), with a = 7.8507 Å, b = 7.8507 Å, c = 22.3582 Å, α = 90.00°, β = 90.00° and γ = 120.00°. The distinct sites, in fractional coordinates, are Ac at (0.0000, 0.3124, 0.2500) and Ge at (0.0000, 0.0000, 0.1572).

As for the raw total energy: -144.62 eV/cell. As for the crystal system: trigonal.


[2]
The following is a PBE calculation of Ac4Ge after structural relaxation, from Alexandria.

It has space group Pm-3m (No. 221), with a = 6.121 Å, b = 6.121 Å, c = 6.121 Å, α = 90.00°, β = 90.00° and γ = 90.00°. The distinct sites, in fractional coordinates, are Ac at (0.000, 0.000, 0.000), Ac at (0.000, 0.500, 0.500) and Ge at (0.500, 0.500, 0.500).

As for the raw total energy: -21.37 eV/cell. As for the crystal system: cubic.


[3]
The following is a PBE calculation of Ac5Ge after structural relaxation, from Alexandria.

It has space group Cmmm (No. 65), with a = 6.009 Å, b = 19.161 Å, c = 4.197 Å, α = 90.00°, β = 90.00° and γ = 90.00°. The distinct sites, in fractional coordinates, are Ac at (0.000, 0.000, 0.000), Ac at (0.000, 0.188, 0.500), Ac at (0.000, 0.372, 0.000) and Ge at (0.000, 0.500, 0.500).

As for the raw total energy: -52.12 eV/cell. As for the crystal system: orthorhombic.


Listing distance to the lowest polymorph of the same formula for the structures above in their given order: 95 93 11 meV per atom.
Listing energy relative to the elements for the structures above in their given order: -509 -64 -150 meV/atom.